(1)
The following is a DFT calculation (PBE) of a geometry-optimized Pt2Cl structure.

Unit cell a=3.722 b=3.722 c=4.321 alpha=90.00 beta=90.00 gamma=90.00
Space group P4/mmm (No. 123)
Unique sites:
1 Pt 0.000 0.500 0.000 x2
2 Cl 0.000 0.000 0.500 x1

Volume (Å³/atom): 19.96
ΔE to the lowest computed polymorph (eV/atom): 0.588

=====

(2)
The following is a DFT calculation (PBE) of a geometry-optimized Pt2Cl structure.

Unit cell a=3.4544 b=3.4544 c=5.2387 alpha=90.00 beta=90.00 gamma=120.00
Space group P-3m1 (No. 164)
Unique sites:
1 Pt 0.3333 0.6667 0.1564 x2
2 Cl 0.0000 0.0000 0.5000 x1

Volume (Å³/atom): 18.05
ΔE to the lowest computed polymorph (eV/atom): 0.178

=====

no.,ΔE_f (raw) (eV per formula unit),DFT total energy (eV/cell)
1,2.29,-11.641
2,1.06,-12.873